Version A
DFT (GGA-PBEsol) results for a relaxed structure of Ba2CuAu.

Results
- Symmetry: P4/mmm
- Density of states at the Fermi level: 3.20 states/eV/f.u.

```
4
Lattice="-3.609 -0.675 -1.279 1.992 -3.521 -3.765 -0.505 -4.150 3.614" Properties=species:S:1:pos:R:3 pbc="T T T"
Au -1.805 -0.337 -0.640
Cu -1.061 -4.173 -0.715
Ba 0.996 -1.761 -1.883
Ba -0.253 -2.075 1.807
```

=====

Version B
DFT (GGA-PBEsol) results for a relaxed structure of Ba2CuAu.

Results
- Symmetry: Amm2
- Density of states at the Fermi level: 2.98 states/eV/f.u.

```
4
Lattice="-0.760 1.915 4.056 -4.400 -1.317 -0.203 1.817 -6.180 0.707" Properties=species:S:1:pos:R:3 pbc="T T T"
Ba -1.444 -3.405 1.337
Ba 1.013 -4.105 4.679
Au 0.148 -0.962 3.033
Cu -2.383 -0.418 2.302
```

=====

Result of the stability comparison: version A is the least stable of them.

=====

Version A
DFT (GGA-PBEsol) results for a relaxed structure of KBa2Au.

Results
- Symmetry: Immm
- Density of states at the Fermi level: 3.79 states/eV/f.u.

```
4
Lattice="-0.343 3.749 -2.218 -5.275 -2.620 -3.611 -1.210 1.609 7.209" Properties=species:S:1:pos:R:3 pbc="T T T"
Ba -2.579 1.394 2.755
Ba -4.250 1.343 -1.376
K -0.172 1.874 -1.109
Au -2.637 -1.310 -1.806
```

=====

Version B
DFT (GGA-PBEsol) results for a relaxed structure of KBa2Au.

Results
- Symmetry: P4/mmm
- Density of states at the Fermi level: 3.92 states/eV/f.u.

```
4
Lattice="4.026 0.000 0.000 0.000 4.026 0.000 0.000 0.000 11.127" Properties=species:S:1:pos:R:3 pbc="T T T"
Au 2.013 2.013 5.563
Ba 0.000 0.000 3.728
Ba 0.000 0.000 7.399
K 2.013 2.013 0.000
```

=====

Result of the stability comparison: version A is the least stable of them.